1.
The following is a DFT calculation (SCAN) of a crystal of AgAuO2 relaxed with PBEsol.

Computed properties:
* formation energy (no corrections): -0.19 eV per atom

abc: 4.691 4.691 10.635
angles: 90.00 90.00 90.00
Fractional positions:
Ag 0.000 0.000 0.000
Ag 0.000 0.500 0.250
Ag 0.500 0.000 0.750
Ag 0.500 0.500 0.500
Au 0.000 0.000 0.500
Au 0.000 0.500 0.750
Au 0.500 0.000 0.250
Au 0.500 0.500 0.000
O 0.222 0.250 0.625
O 0.250 0.222 0.375
O 0.250 0.278 0.875
O 0.278 0.250 0.125
O 0.722 0.750 0.125
O 0.750 0.722 0.875
O 0.750 0.778 0.375
O 0.778 0.750 0.625

***

2.
The following is a DFT calculation (SCAN) of a crystal of Pd17Se15 relaxed with PBEsol.

Computed properties:
* formation energy (no corrections): -0.37 eV per atom

abc: 10.578 10.578 10.578
angles: 90.00 90.00 90.00
Fractional positions:
Pd 0.000 0.000 0.000
Pd 0.000 0.500 0.500
Pd 0.147 0.147 0.349
Pd 0.147 0.147 0.651
Pd 0.147 0.349 0.147
Pd 0.147 0.349 0.853
Pd 0.147 0.651 0.147
Pd 0.147 0.651 0.853
Pd 0.147 0.853 0.349
Pd 0.147 0.853 0.651
Pd 0.260 0.500 0.500
Pd 0.349 0.147 0.147
Pd 0.349 0.147 0.853
Pd 0.349 0.853 0.147
Pd 0.349 0.853 0.853
Pd 0.500 0.000 0.500
Pd 0.500 0.260 0.500
Pd 0.500 0.500 0.000
Pd 0.500 0.500 0.260
Pd 0.500 0.500 0.740
Pd 0.500 0.740 0.500
Pd 0.651 0.147 0.147
Pd 0.651 0.147 0.853
Pd 0.651 0.853 0.147
Pd 0.651 0.853 0.853
Pd 0.740 0.500 0.500
Pd 0.853 0.147 0.349
Pd 0.853 0.147 0.651
Pd 0.853 0.349 0.147
Pd 0.853 0.349 0.853
Pd 0.853 0.651 0.147
Pd 0.853 0.651 0.853
Pd 0.853 0.853 0.349
Pd 0.853 0.853 0.651
Se 0.000 0.000 0.239
Se 0.000 0.000 0.761
Se 0.000 0.239 0.000
Se 0.000 0.331 0.331
Se 0.000 0.331 0.669
Se 0.000 0.669 0.331
Se 0.000 0.669 0.669
Se 0.000 0.761 0.000
Se 0.239 0.000 0.000
Se 0.269 0.269 0.500
Se 0.269 0.500 0.269
Se 0.269 0.500 0.731
Se 0.269 0.731 0.500
Se 0.331 0.000 0.331
Se 0.331 0.000 0.669
Se 0.331 0.331 0.000
Se 0.331 0.669 0.000
Se 0.500 0.269 0.269
Se 0.500 0.269 0.731
Se 0.500 0.731 0.269
Se 0.500 0.731 0.731
Se 0.669 0.000 0.331
Se 0.669 0.000 0.669
Se 0.669 0.331 0.000
Se 0.669 0.669 0.000
Se 0.731 0.269 0.500
Se 0.731 0.500 0.269
Se 0.731 0.500 0.731
Se 0.731 0.731 0.500
Se 0.761 0.000 0.000

***

3.
The following is a DFT calculation (SCAN) of a crystal of AlCd3 relaxed with PBEsol.

Computed properties:
* formation energy: 0.4 eV per formula unit

abc: 2.815 10.861 5.374
angles: 90.00 90.00 90.00
Fractional positions:
Al 0.000 0.000 0.000
Al 0.500 0.500 0.500
Cd 0.000 0.259 0.522
Cd 0.000 0.500 0.002
Cd 0.000 0.741 0.522
Cd 0.500 0.000 0.502
Cd 0.500 0.241 0.022
Cd 0.500 0.759 0.022

***

4.
The following is a DFT calculation (SCAN) of a crystal of Zr2CdHg relaxed with PBEsol.

Computed properties:
* polymorph energy (0 for the lowest one): 168.8 meV/atom
* formation energy: -0.5 eV per formula unit

abc: 3.248 3.248 28.794
angles: 90.00 90.00 120.00
Fractional positions:
Zr 0.000 0.000 0.000
Zr 0.000 0.000 0.251
Zr 0.333 0.667 0.667
Zr 0.333 0.667 0.917
Zr 0.667 0.333 0.333
Zr 0.667 0.333 0.584
Cd 0.000 0.000 0.498
Cd 0.333 0.667 0.165
Cd 0.667 0.333 0.831
Hg 0.000 0.000 0.749
Hg 0.333 0.667 0.416
Hg 0.667 0.333 0.083

***

5.
The following is a DFT calculation (SCAN) of a crystal of CdAu7 relaxed with PBEsol.

Computed properties:
* formation energy: -0.6 eV per formula unit

abc: 5.794 5.794 5.794
angles: 60.00 60.00 60.00
Fractional positions:
Cd 0.000 0.000 0.000
Au 0.000 0.000 0.500
Au 0.000 0.500 0.000
Au 0.000 0.500 0.500
Au 0.500 0.000 0.000
Au 0.500 0.000 0.500
Au 0.500 0.500 0.000
Au 0.500 0.500 0.500

***

6.
The following is a DFT calculation (SCAN) of a crystal of RuWAu relaxed with PBEsol.

Computed properties:
* formation energy: 0.6 eV per formula unit

abc: 2.838 2.838 11.453
angles: 90.00 90.00 90.00
Fractional positions:
Ru 0.000 0.000 0.000
Ru 0.500 0.500 0.500
W 0.000 0.000 0.356
W 0.500 0.500 0.856
Au 0.000 0.000 0.678
Au 0.500 0.500 0.178

***

7.
The following is a DFT calculation (SCAN) of a crystal of SrZn2Ni relaxed with PBEsol.

Computed properties:
* formation energy: 0.8 eV per formula unit

abc: 6.651 6.651 6.651
angles: 90.00 90.00 90.00
Fractional positions:
Sr 0.000 0.000 0.000
Sr 0.000 0.500 0.500
Sr 0.500 0.000 0.500
Sr 0.500 0.500 0.000
Zn 0.250 0.250 0.250
Zn 0.250 0.250 0.750
Zn 0.250 0.750 0.250
Zn 0.250 0.750 0.750
Zn 0.750 0.250 0.250
Zn 0.750 0.250 0.750
Zn 0.750 0.750 0.250
Zn 0.750 0.750 0.750
Ni 0.000 0.000 0.500
Ni 0.000 0.500 0.000
Ni 0.500 0.000 0.000
Ni 0.500 0.500 0.500

***

8.
The following is a DFT calculation (SCAN) of a crystal of VO2F relaxed with PBEsol.

Computed properties:
* formation energy (no corrections): -2.61 eV per atom

abc: 5.188 5.188 12.741
angles: 90.00 90.00 120.00
Fractional positions:
V 0.007 0.381 0.000
V 0.019 0.287 0.500
V 0.268 0.981 0.167
V 0.374 0.993 0.667
V 0.619 0.626 0.333
V 0.713 0.732 0.834
O 0.008 0.784 0.254
O 0.108 0.108 0.088
O 0.216 0.224 0.588
O 0.221 0.659 0.084
O 0.341 0.562 0.418
O 0.438 0.779 0.751
O 0.458 0.338 0.252
O 0.662 0.119 0.586
O 0.776 0.992 0.921
O 0.881 0.542 0.919
O 0.892 0.001 0.421
O 0.999 0.892 0.755
F 0.104 0.678 0.584
F 0.322 0.426 0.918
F 0.548 0.328 0.753
F 0.574 0.896 0.251
F 0.672 0.219 0.086
F 0.781 0.452 0.420

***

9.
The following is a DFT calculation (SCAN) of a crystal of Y12Ni6Pb relaxed with PBEsol.

Computed properties:
* formation energy: -8.1 eV per formula unit

abc: 8.318 8.318 8.318
angles: 109.47 109.47 109.47
Fractional positions:
Y 0.116 0.304 0.812
Y 0.188 0.493 0.304
Y 0.188 0.884 0.696
Y 0.304 0.188 0.493
Y 0.304 0.812 0.116
Y 0.493 0.304 0.188
Y 0.507 0.696 0.812
Y 0.696 0.188 0.884
Y 0.696 0.812 0.507
Y 0.812 0.116 0.304
Y 0.812 0.507 0.696
Y 0.884 0.696 0.188
Ni 0.123 0.500 0.623
Ni 0.377 0.877 0.500
Ni 0.500 0.377 0.877
Ni 0.500 0.623 0.123
Ni 0.623 0.123 0.500
Ni 0.877 0.500 0.377
Pb 0.000 0.000 0.000

***

10.
The following is a DFT calculation (SCAN) of a crystal of Li2FeMo relaxed with PBEsol.

Computed properties:
* polymorph energy (0 for the lowest one): 51.5 meV/atom
* formation energy: 1.6 eV per formula unit

abc: 2.589 2.589 28.467
angles: 90.00 90.00 120.00
Fractional positions:
Li 0.000 0.000 0.246
Li 0.000 0.000 0.754
Li 0.333 0.667 0.421
Li 0.333 0.667 0.913
Li 0.667 0.333 0.087
Li 0.667 0.333 0.579
Fe 0.000 0.000 0.500
Fe 0.333 0.667 0.167
Fe 0.667 0.333 0.833
Mo 0.000 0.000 0.000
Mo 0.333 0.667 0.667
Mo 0.667 0.333 0.333

***

11.
The following is a DFT calculation (SCAN) of a crystal of ZrAlSi relaxed with PBEsol.

Computed properties:
* formation energy (no corrections): -0.58 eV per atom

abc: 5.065 7.190 5.474
angles: 90.00 90.00 90.00
Fractional positions:
Zr 0.142 0.101 0.250
Zr 0.142 0.399 0.750
Zr 0.858 0.601 0.250
Zr 0.858 0.899 0.750
Al 0.327 0.750 0.000
Al 0.327 0.750 0.500
Al 0.673 0.250 0.000
Al 0.673 0.250 0.500
Si 0.343 0.050 0.750
Si 0.343 0.450 0.250
Si 0.657 0.550 0.750
Si 0.657 0.950 0.250

***

12.
The following is a DFT calculation (SCAN) of a crystal of Re3Te relaxed with PBEsol.

Computed properties:
* formation energy (no corrections): 0.61 eV per atom

abc: 2.979 9.453 4.600
angles: 90.00 90.00 90.00
Fractional positions:
Re 0.000 0.000 0.000
Re 0.000 0.281 0.692
Re 0.000 0.719 0.692
Re 0.500 0.219 0.192
Re 0.500 0.500 0.500
Re 0.500 0.781 0.192
Te 0.000 0.500 0.041
Te 0.500 0.000 0.541